# 1
VASP calculation (PBE) on a geometry-optimized NaPaCS structure.

The structure in extended XYZ format:
```
8
Lattice="4.043 0.000 0.000 2.021 3.501 0.000 2.021 1.167 10.791" Properties=species:S:1:pos:R:3 pbc="T T T"
S 4.043 2.334 8.686
S 4.043 2.334 2.104
Pa 6.064 3.501 3.986
Pa 2.021 1.167 6.805
Na 2.021 1.167 0.975
Na 6.064 3.501 9.816
C 2.021 1.167 4.506
C 6.064 3.501 6.285
```

## Properties
electronic total energy	-6.886	eV/atom
formation energy without anion corrections	-845	meV/atom
theoretical density	6.5	Mg/m³
size of the total moment	0.00	μB/f.u.

=====

# 2
VASP calculation (PBE) on a geometry-optimized Na2PbC structure.

The structure in extended XYZ format:
```
8
Lattice="-8.756 -3.788 2.366 4.239 -5.407 7.029 -2.595 -2.859 6.238" Properties=species:S:1:pos:R:3 pbc="T T T"
Na -6.632 -9.254 11.683
Na -4.076 -3.103 3.508
Na -0.609 -5.223 6.658
Na -2.907 -6.528 9.418
Pb 0.000 0.000 0.000
Pb -6.805 -5.622 6.651
C -0.307 -6.432 8.983
C -2.259 -4.598 4.698
```

## Properties
formation energy	0.8684	eV per atom
electronic total energy	-3.024	eV/atom
theoretical density	3.9	Mg/m³
size of the total moment	0.00	μB/f.u.
distance to the lowest polymorph of the same formula	0	meV/atom

=====

# 3
VASP calculation (PBE) on a geometry-optimized NaPbC3 structure.

The structure in extended XYZ format:
```
5
Lattice="-2.406 3.153 1.794 0.587 -1.786 3.926 3.580 2.412 0.562" Properties=species:S:1:pos:R:3 pbc="T T T"
C 1.790 1.206 0.281
C 0.294 -0.893 1.963
C -1.203 1.577 0.897
Pb 0.881 1.890 3.141
Na 0.000 0.000 0.000
```

## Properties
formation energy	3.3220	eV per atom
electronic total energy	-3.218	eV/atom
theoretical density	5.4	Mg/m³
size of the total moment	0.00	μB/f.u.
distance to the lowest polymorph of the same formula	302	meV/atom

=====

# 4
VASP calculation (PBE) on a geometry-optimized NaPbC3 structure.

The structure in extended XYZ format:
```
5
Lattice="-3.615 2.454 -1.410 -2.765 -2.573 2.611 0.605 2.905 3.503" Properties=species:S:1:pos:R:3 pbc="T T T"
C -1.808 1.227 -0.705
C -1.382 -1.286 1.306
C 0.303 1.453 1.752
Pb 0.000 0.000 0.000
Na -2.887 1.393 2.352
```

## Properties
formation energy	3.0198	eV per atom
electronic total energy	-3.520	eV/atom
theoretical density	4.6	Mg/m³
size of the total moment	1.24	μB/f.u.
distance to the lowest polymorph of the same formula	0	meV/atom

=====

# 5
VASP calculation (PBE) on a geometry-optimized NaPb2C structure.

The structure in extended XYZ format:
```
8
Lattice="-2.539 0.193 -7.370 5.344 -5.322 -1.980 -0.612 -4.824 -4.040" Properties=species:S:1:pos:R:3 pbc="T T T"
Pb 2.651 -4.492 -3.803
Pb 1.053 -6.000 -6.707
Pb 1.535 -7.648 -11.041
Pb -0.854 -1.767 -5.230
C 3.067 -6.355 -5.348
C 1.402 -2.565 -4.675
Na -0.875 -3.598 -8.043
Na 0.000 0.000 0.000
```

## Properties
formation energy	0.7901	eV per atom
electronic total energy	-3.700	eV/atom
theoretical density	7.9	Mg/m³
size of the total moment	0.00	μB/f.u.

=====

# 6
VASP calculation (PBE) on a geometry-optimized Na2PbC structure.

The structure in extended XYZ format:
```
4
Lattice="4.734 -1.204 -0.179 1.847 -3.145 3.254 1.329 -4.485 -1.418" Properties=species:S:1:pos:R:3 pbc="T T T"
Na 5.932 -6.625 1.243
Na 1.977 -2.208 0.414
C 0.000 0.000 0.000
Pb 3.955 -4.417 0.829
```

## Properties
formation energy	1.1994	eV per atom
electronic total energy	-2.693	eV/atom
theoretical density	5.3	Mg/m³
size of the total moment	0.00	μB/f.u.
distance to the lowest polymorph of the same formula	331	meV/atom